[1]
ZnNi2Pd9 (PBE, optimized geometry); symmetry = P4/mmm; Fermi-level density of states = 1.72 states/eV per atom; formation enthalpy at 0 K = -8 kJ per mole of atoms; energy = -60.53 eV per cell
1.0
3.8806 0.0000 0.0000
0.0000 3.8806 0.0000
0.0000 0.0000 11.6743
Zn Ni Pd
1 2 9
direct
0.0000 0.0000 0.0000
0.0000 0.0000 0.3359
0.0000 0.0000 0.6641
0.0000 0.5000 0.1700
0.0000 0.5000 0.5000
0.0000 0.5000 0.8300
0.5000 0.0000 0.1700
0.5000 0.0000 0.5000
0.5000 0.0000 0.8300
0.5000 0.5000 0.0000
0.5000 0.5000 0.3352
0.5000 0.5000 0.6648

=====

[2]
Sr2TlCl (PBE, optimized geometry); symmetry = R3m; Fermi-level density of states = 0.32 states/eV per atom; energy above the most stable polymorph in this dataset = 0.29 eV per formula unit; energy = -11.63 eV per cell; raw formation energy = -1.01 eV per atom
1.0
2.1329 1.2314 8.9671
-2.1329 1.2314 8.9671
0.0000 -2.4628 8.9671
Sr Tl Cl
2 1 1
direct
0.0000 0.0000 0.0000
0.1636 0.1636 0.1636
0.5815 0.5815 0.5815
0.4118 0.4118 0.4118

=====

[3]
Ba2Mg4Ge3Pb (PBE, optimized geometry); symmetry = P-4m2; Fermi-level density of states = 0.24 states/eV per atom; formation enthalpy at 0 K = -42 kJ per mole of atoms; energy = -32.13 eV per cell
1.0
4.7757 0.0000 0.0000
0.0000 4.7757 0.0000
0.0000 0.0000 11.6515
Ba Mg Ge Pb
2 4 3 1
direct
0.0000 0.5000 0.2443
0.5000 0.0000 0.7557
0.0000 0.0000 0.0000
0.0000 0.5000 0.6422
0.5000 0.0000 0.3578
0.5000 0.5000 0.0000
0.0000 0.5000 0.8723
0.5000 0.0000 0.1277
0.5000 0.5000 0.5000
0.0000 0.0000 0.5000